DyPu4Te5 | PBE | optimized geometry

Output
- uncorrected formation energy (eV per formula unit) = -11.18

Cell: 4.4021 6.2434 22.1146 Å, 90.00 90.00 90.00°
Last column: nearest neighbours and their distance in Å.
Space group Immm (No. 71)
Unique sites:
Dy1 0.0000 0.0000 0.0000 (multiplicity 2)  6 Te 3.09-3.12
Pu1 0.0000 0.0000 0.2001 (multiplicity 4)  6 Te 3.12-3.15
Pu2 0.0000 0.0000 0.4008 (multiplicity 4)  6 Te 3.11-3.13
Te1 0.0000 0.5000 0.0000 (multiplicity 2)  4 Pu 3.11, 2 Dy 3.12
Te2 0.0000 0.5000 0.2001 (multiplicity 4)  6 Pu 3.12-3.13
Te3 0.0000 0.5000 0.4018 (multiplicity 4)  2 Dy 3.09, 4 Pu 3.12-3.15